[1]
Hf2Co4B: relaxed, PBE.

Results
* total magnetization: 1.93 Bohr magnetons per cell
* DFT total energy: -8.062 eV per atom

```
data_Hf2Co4B
_chemical_formula_sum 'Hf4 Co8 B2'
_symmetry_space_group_name_H-M 'I 4/m m m'
_symmetry_Int_Tables_number 139
_symmetry_space_group_name_Hall '-I 4 2'
_cell_length_a 3.762
_cell_length_b 3.762
_cell_length_c 13.258
_cell_angle_alpha 90.00
_cell_angle_beta 90.00
_cell_angle_gamma 90.00
loop_
_atom_site_label
_atom_site_type_symbol
_atom_site_fract_x
_atom_site_fract_y
_atom_site_fract_z
Hf1 Hf 0.000 0.000 0.161
Co1 Co 0.000 0.000 0.357
Co2 Co 0.000 0.500 0.000
B1 B 0.000 0.000 0.500
```

---

[2]
V2CoSiRh: relaxed, PBE.

Results
* total magnetization: 0.00 Bohr magnetons per cell
* DFT total energy: -6.386 eV per atom

```
data_V2CoSiRh
_chemical_formula_sum 'V2 Co1 Si1 Rh1'
_symmetry_space_group_name_H-M 'P 4/m m m'
_symmetry_Int_Tables_number 123
_symmetry_space_group_name_Hall '-P 4 2'
_cell_length_a 4.458
_cell_length_b 4.458
_cell_length_c 4.488
_cell_angle_alpha 90.00
_cell_angle_beta 90.00
_cell_angle_gamma 90.00
loop_
_atom_site_label
_atom_site_type_symbol
_atom_site_fract_x
_atom_site_fract_y
_atom_site_fract_z
V1 V 0.000 0.500 0.000
Co1 Co 0.000 0.000 0.500
Si1 Si 0.500 0.500 0.500
Rh1 Rh 0.000 0.000 0.000
```

---

[3]
YTm5Bi2: relaxed, PBE.

Results
* total magnetization: 0.00 Bohr magnetons per cell
* DFT total energy: -4.829 eV per atom

```
data_YTm5Bi2
_chemical_formula_sum 'Y2 Tm10 Bi4'
_symmetry_space_group_name_H-M 'I m m m'
_symmetry_Int_Tables_number 71
_symmetry_space_group_name_Hall '-I 2 2'
_cell_length_a 4.028
_cell_length_b 10.040
_cell_length_c 12.011
_cell_angle_alpha 90.00
_cell_angle_beta 90.00
_cell_angle_gamma 90.00
loop_
_atom_site_label
_atom_site_type_symbol
_atom_site_fract_x
_atom_site_fract_y
_atom_site_fract_z
Y1 Y 0.000 0.000 0.000
Tm1 Tm 0.000 0.205 0.359
Tm2 Tm 0.000 0.500 0.000
Bi1 Bi 0.000 0.500 0.275
```

---

[4]
MnFePb2: relaxed, PBE.

Results
* total magnetization: 12.97 Bohr magnetons per cell
* DFT total energy: -5.659 eV per atom

```
data_MnFePb2
_chemical_formula_sum 'Mn2 Fe2 Pb4'
_symmetry_space_group_name_H-M 'I -4 m 2'
_symmetry_Int_Tables_number 119
_symmetry_space_group_name_Hall 'I -4 -2'
_cell_length_a 4.134
_cell_length_b 4.134
_cell_length_c 9.731
_cell_angle_alpha 90.00
_cell_angle_beta 90.00
_cell_angle_gamma 90.00
loop_
_atom_site_label
_atom_site_type_symbol
_atom_site_fract_x
_atom_site_fract_y
_atom_site_fract_z
Mn1 Mn 0.000 0.000 0.000
Fe1 Fe 0.000 0.500 0.250
Pb1 Pb 0.000 0.000 0.500
Pb2 Pb 0.000 0.500 0.750
```